DFT (PBE-GGA) results for crystalline ReTcAg2 at its relaxed geometry.

Cell: 7.4639 7.4639 5.1211 Å, 90.00 90.00 90.00°
Closest atoms and distances in Å follow each position.
Space group I-42d (No. 122)
Inequivalent atoms, fractional coordinates:
Re  0.0000  0.0000  0.0000 (multiplicity 4)  2 Tc 2.56, 4 Ag 2.70
Tc  0.0000  0.0000  0.5000 (multiplicity 4)  2 Re 2.56, 4 Ag 2.73
Ag  0.2466  0.7500  0.1250 (multiplicity 8)  2 Ag 2.56, 2 Re 2.70, 2 Tc 2.73

Results
ρ ... 11.64 g cm⁻³
Energy relative to the elements ... 1.391 eV per atom